Entry 1:
The following is a PBE calculation of a relaxed structure of NaB4Au, from OQMD.

Summary:
Space group = Immm, No. 71

a = 5.0898 Å, b = 5.0898 Å, c = 5.0898 Å
α = 146.02°, β = 116.96°, γ = 73.58°
With the nearest neighbours (Å) after each atom.
Sites, in units of the cell vectors:
1 Na 0.0000 0.0000 0.0000  12 B 2.66-2.73, 2 Na 2.97
2 B 0.0873 0.7486 0.3387  3 B 1.72-1.76
3 B 0.4099 0.7486 0.6613  3 B 1.72-1.76
4 B 0.5901 0.2514 0.3387  3 B 1.72-1.76
5 B 0.9127 0.2514 0.6613  3 B 1.72-1.76
6 Au 0.5000 0.5000 0.0000  12 B 2.67-2.71, 2 Au 2.97


Entry 2:
The following is a PBE calculation of a relaxed structure of NaTlBAu, from OQMD.

Summary:
Space group = F-43m, No. 216

a = 4.7156 Å, b = 4.7156 Å, c = 4.7156 Å
α = 60.00°, β = 60.00°, γ = 60.00°
With the nearest neighbours (Å) after each atom.
Sites, in units of the cell vectors:
1 Na 0.0000 0.0000 0.0000  4 Tl 2.89, 4 Au 2.89
2 Tl 0.2500 0.2500 0.2500  4 Na 2.89, 4 B 2.89
3 B 0.5000 0.5000 0.5000  4 Tl 2.89, 4 Au 2.89
4 Au 0.7500 0.7500 0.7500  4 Na 2.89, 4 B 2.89


Entry 3:
The following is a PBE calculation of a relaxed structure of NaTlBAu, from OQMD.

Summary:
Space group = F-43m, No. 216

a = 4.7332 Å, b = 4.7332 Å, c = 4.7332 Å
α = 60.00°, β = 60.00°, γ = 60.00°
With the nearest neighbours (Å) after each atom.
Sites, in units of the cell vectors:
1 Na 0.0000 0.0000 0.0000  4 B 2.90, 4 Tl 2.90
2 Tl 0.2500 0.2500 0.2500  4 Na 2.90, 4 Au 2.90
3 B 0.7500 0.7500 0.7500  4 Na 2.90, 4 Au 2.90
4 Au 0.5000 0.5000 0.5000  4 Tl 2.90, 4 B 2.90


Entry 4:
The following is a PBE calculation of a relaxed structure of NaTlBAu, from OQMD.

Summary:
Space group = F-43m, No. 216

a = 4.7814 Å, b = 4.7814 Å, c = 4.7814 Å
α = 60.00°, β = 60.00°, γ = 60.00°
With the nearest neighbours (Å) after each atom.
Sites, in units of the cell vectors:
1 Na 0.0000 0.0000 0.0000  4 B 2.93, 4 Au 2.93
2 Tl 0.5000 0.5000 0.5000  4 B 2.93, 4 Au 2.93
3 B 0.2500 0.2500 0.2500  4 Tl 2.93, 4 Na 2.93
4 Au 0.7500 0.7500 0.7500  4 Tl 2.93, 4 Na 2.93


no.,energy (eV/atom)
1,-4.817
2,-2.653
3,-2.643
4,-2.652